*i*
The following is a PBE-GGA calculation of a relaxed Sc2BeRe2 crystal, from Alexandria via LeMat-Bulk.

Computed properties:
Space group: No. 127
Mass density (g cm⁻³): 9.34

abc: 6.692 6.692 3.744
angles: 90.00 90.00 90.00
Fractional coordinates of all 10 atoms:
Re1 0.666 0.834 0.500
Re2 0.834 0.334 0.500
Re3 0.334 0.166 0.500
Re4 0.166 0.666 0.500
Sc1 0.643 0.143 0.000
Sc2 0.357 0.857 0.000
Sc3 0.143 0.357 0.000
Sc4 0.857 0.643 0.000
Be1 0.000 0.000 0.000
Be2 0.500 0.500 0.000

---

*ii*
The following is a PBE-GGA calculation of a relaxed Sc2BeRe2 crystal, from Alexandria via LeMat-Bulk.

Computed properties:
Space group: No. 139
Mass density (g cm⁻³): 8.09

abc: 3.548 3.548 8.087
angles: 77.33 77.33 90.00
Fractional coordinates of all 5 atoms:
Be1 0.000 0.000 0.000
Sc1 0.599 0.599 0.802
Sc2 0.401 0.401 0.198
Re1 0.250 0.750 0.500
Re2 0.750 0.250 0.500

---

Quick ranking, most stable first: *ii*, *i*.

---

*i*
The following is a PBE-GGA calculation of a relaxed Be4ReSi crystal, from Alexandria via LeMat-Bulk.

Computed properties:
Space group: No. 36
Mass density (g cm⁻³): 6.89

abc: 3.360 4.939 7.735
angles: 90.00 90.00 109.89
Fractional coordinates of all 12 atoms:
Be1 0.012 0.025 0.266
Be2 0.988 0.975 0.766
Be3 0.363 0.726 0.826
Be4 0.846 0.693 0.053
Be5 0.637 0.274 0.326
Be6 0.498 0.996 0.567
Be7 0.154 0.307 0.553
Be8 0.502 0.004 0.067
Si1 0.169 0.337 0.048
Si2 0.831 0.663 0.548
Re1 0.330 0.659 0.307
Re2 0.670 0.341 0.807

---

*ii*
The following is a PBE-GGA calculation of a relaxed Be4ReSi crystal, from Alexandria via LeMat-Bulk.

Computed properties:
Space group: No. 216
Mass density (g cm⁻³): 7.35

abc: 4.308 4.308 4.308
angles: 60.00 60.00 60.00
Fractional coordinates of all 6 atoms:
Be1 0.623 0.623 0.131
Be2 0.131 0.623 0.623
Be3 0.623 0.623 0.623
Be4 0.623 0.131 0.623
Si1 0.000 0.000 0.000
Re1 0.250 0.250 0.250

---

Quick ranking, most stable first: *ii*, *i*.

---

*i*
The following is a PBE-GGA calculation of a relaxed SrBe3Re crystal, from Alexandria via LeMat-Bulk.

Computed properties:
Space group: No. 221
Mass density (g cm⁻³): 5.91

abc: 4.390 4.390 4.390
angles: 90.00 90.00 90.00
Fractional coordinates of all 5 atoms:
Re1 0.500 0.500 0.500
Be1 0.000 0.500 0.000
Be2 0.500 0.000 0.000
Be3 0.000 0.000 0.500
Sr1 0.000 0.000 0.000

---

*ii*
The following is a PBE-GGA calculation of a relaxed SrBe3Re crystal, from Alexandria via LeMat-Bulk.

Computed properties:
Space group: No. 221
Mass density (g cm⁻³): 5.61

abc: 4.465 4.465 4.465
angles: 90.00 90.00 90.00
Fractional coordinates of all 5 atoms:
Be1 0.000 0.000 0.500
Be2 0.500 0.000 0.000
Be3 0.000 0.500 0.000
Sr1 0.500 0.500 0.500
Re1 0.000 0.000 0.000

---

Quick ranking, most stable first: *ii*, *i*.